No. 1
Density functional theory data (PBEsol) for a relaxed structure of AlCrIn.

Its calculated formation energy is 8.58 kcal/mol of atoms. The energy above the most stable polymorph in this dataset is 0.134 eV per atom. The electronic total energy is -16.2 eV per cell.

It has space group P3m1 (No. 156), with a = 2.9378 Å, b = 2.9378 Å, c = 6.7523 Å, α = 90.00°, β = 90.00° and γ = 120.00°. The inequivalent atoms are Al at (0.0000, 0.0000, 0.0000), Cr at (0.3333, 0.6667, 0.7138) and In at (0.6667, 0.3333, 0.3817).

No. 2
Density functional theory data (PBEsol) for a relaxed structure of LuCd2.

Its calculated formation energy is -7.15 kcal/mol of atoms. The electronic total energy is -8.2 eV per cell.

It has space group P6/mmm (No. 191), with a = 4.8293 Å, b = 4.8293 Å, c = 3.3028 Å, α = 90.00°, β = 90.00° and γ = 120.00°. The inequivalent atoms are Lu at (0.0000, 0.0000, 0.0000) and Cd at (0.3333, 0.6667, 0.5000).

No. 3
Density functional theory data (PBEsol) for a relaxed structure of CaMg.

Its calculated formation energy is -1.35 kcal/mol of atoms. The electronic total energy is -15.9 eV per cell.

It has space group C2/m (No. 12), with a = 12.298 Å, b = 3.637 Å, c = 5.818 Å, α = 90.00°, β = 110.15° and γ = 90.00°. The inequivalent atoms are Ca at (0.106, 0.000, 0.326) and Mg at (0.147, 0.500, 0.854).

No. 4
Density functional theory data (PBEsol) for a relaxed structure of AlNi2Au.

Its calculated formation energy is -8.07 kcal/mol of atoms. The electronic total energy is -43.5 eV per cell.

It has space group I-4m2 (No. 119), with a = 3.715 Å, b = 3.715 Å, c = 7.330 Å, α = 90.00°, β = 90.00° and γ = 90.00°. The inequivalent atoms are Al at (0.000, 0.000, 0.000), Ni at (0.000, 0.000, 0.500), Ni at (0.000, 0.500, 0.750) and Au at (0.000, 0.500, 0.250).

No. 5
Density functional theory data (PBEsol) for a relaxed structure of PrTm3S6.

The electronic total energy is -135.1 eV per cell. For the uncorrected formation energy, the calculation gives -2.13 eV per atom.

It has space group P2_1/m (No. 11), with a = 10.834 Å, b = 3.901 Å, c = 11.132 Å, α = 90.00°, β = 108.93° and γ = 90.00°. The inequivalent atoms are Pr at (0.051, 0.250, 0.197), Tm at (0.160, 0.250, 0.587), Tm at (0.321, 0.750, 0.999), Tm at (0.443, 0.250, 0.333), S at (0.084, 0.750, 0.407), S at (0.121, 0.250, 0.964), S at (0.198, 0.750, 0.749), S at (0.267, 0.750, 0.229), S at (0.393, 0.250, 0.556) and S at (0.481, 0.250, 0.113).

No. 6
Density functional theory data (PBEsol) for a relaxed structure of LiMnSi2.

The energy above the most stable polymorph in this dataset is 0.012 eV per atom. The electronic total energy is -48.4 eV per cell. For the uncorrected formation energy, the calculation gives -0.24 eV per atom.

It has space group I4/mmm (No. 139), with a = 3.633 Å, b = 3.633 Å, c = 6.925 Å, α = 90.00°, β = 90.00° and γ = 90.00°. The inequivalent atoms are Li at (0.000, 0.000, 0.000), Mn at (0.000, 0.000, 0.500) and Si at (0.000, 0.500, 0.250).

No. 7
Density functional theory data (PBEsol) for a relaxed structure of Dy2InAg.

Its calculated formation energy is -9.63 kcal/mol of atoms. The electronic total energy is -71.7 eV per cell.

It has space group Fm-3m (No. 225), with a = 7.292 Å, b = 7.292 Å, c = 7.292 Å, α = 90.00°, β = 90.00° and γ = 90.00°. The inequivalent atoms are Dy at (0.250, 0.250, 0.250), In at (0.000, 0.000, 0.000) and Ag at (0.000, 0.000, 0.500).

No. 8
Density functional theory data (PBEsol) for a relaxed structure of K2Bi8Se13.

The energy above the most stable polymorph in this dataset is 0.000 eV per atom. The electronic total energy is -197.5 eV per cell. For the uncorrected formation energy, the calculation gives -0.53 eV per atom.

It has space group C2/m (No. 12), with a = 27.117 Å, b = 4.147 Å, c = 12.077 Å, α = 90.00°, β = 92.10° and γ = 90.00°. The inequivalent atoms are K at (0.087, 0.000, 0.050), Bi at (0.059, 0.000, 0.380), Bi at (0.076, 0.500, 0.703), Bi at (0.189, 0.500, 0.453), Bi at (0.219, 0.000, 0.865), Se at (0.000, 0.500, 0.500), Se at (0.018, 0.000, 0.801), Se at (0.111, 0.500, 0.271), Se at (0.131, 0.000, 0.572), Se at (0.141, 0.500, 0.883), Se at (0.208, 0.000, 0.089) and Se at (0.245, 0.000, 0.354).

No. 9
Density functional theory data (PBEsol) for a relaxed structure of BaCr3B.

Its calculated formation energy is 78.44 kcal/mol of atoms. The electronic total energy is -22.9 eV per cell.

It has space group Pm-3m (No. 221), with a = 4.981 Å, b = 4.981 Å, c = 4.981 Å, α = 90.00°, β = 90.00° and γ = 90.00°. The inequivalent atoms are Ba at (0.000, 0.000, 0.000), Cr at (0.000, 0.000, 0.500) and B at (0.500, 0.500, 0.500).

No. 10
Density functional theory data (PBEsol) for a relaxed structure of K2CuNiIr.

Its calculated formation energy is 28.64 kcal/mol of atoms. The electronic total energy is -16.4 eV per cell.

It has space group P4/mmm (No. 123), with a = 5.736 Å, b = 5.736 Å, c = 4.382 Å, α = 90.00°, β = 90.00° and γ = 90.00°. The inequivalent atoms are K at (0.000, 0.500, 0.000), Cu at (0.000, 0.000, 0.500), Ni at (0.500, 0.500, 0.000) and Ir at (0.500, 0.500, 0.500).

No. 11
Density functional theory data (PBEsol) for a relaxed structure of CuAs2O4.

The electronic total energy is -169.6 eV per cell. For the uncorrected formation energy, the calculation gives -0.98 eV per atom.

It has space group P4_2/mbc (No. 135), with a = 8.602 Å, b = 8.602 Å, c = 5.563 Å, α = 90.00°, β = 90.00° and γ = 90.00°. The inequivalent atoms are Cu at (0.000, 0.500, 0.250), As at (0.159, 0.201, 0.000), O at (0.093, 0.373, 0.500) and O at (0.201, 0.701, 0.250).

No. 12
Density functional theory data (PBEsol) for a relaxed structure of LaTc2Pt.

Its calculated formation energy is 5.58 kcal/mol of atoms. The energy above the most stable polymorph in this dataset is 0.000 eV per atom. The electronic total energy is -101.6 eV per cell.

It has space group R3m (No. 160, hexagonal axes), with a = 2.8488 Å, b = 2.8488 Å, c = 29.1004 Å, α = 90.00°, β = 90.00° and γ = 120.00°. The inequivalent atoms are La at (0.0000, 0.0000, 0.0000), Tc at (0.0000, 0.0000, 0.2382), Tc at (0.0000, 0.0000, 0.5036) and Pt at (0.0000, 0.0000, 0.7596).